Entry from Alexandria: a relaxed CaCeC crystal (PBE-GGA).

The total magnetization comes out at 0.56 μB per formula unit. The calculation puts the energy above the most stable polymorph in this dataset at 0 meV/atom. Its energy is -5.734 eV/atom. Its formation energy is 0.0 eV/f.u.

a b c (Å): 3.6590 3.6590 6.4714
angles (deg): 90.00 90.00 120.00
Space group P3m1 (No. 156)
One atom of each set of equivalent atoms:
Ca 0.0000 0.0000 0.0000
Ce 0.3333 0.6667 0.4286
C 0.6667 0.3333 0.2529

***

Entry from Alexandria: a relaxed Cr2WCl crystal (PBE-GGA).

The total magnetization comes out at 5.37 μB per formula unit. As for the formation energy (no corrections): 411 meV/atom. The calculation puts the energy above the most stable polymorph in this dataset at 178 meV/atom. Its energy is -8.101 eV/atom.

a b c (Å): 3.257 4.900 7.977
angles (deg): 90.00 90.00 90.00
Space group Cmmm (No. 65)
One atom of each set of equivalent atoms:
Cr 0.000 0.000 0.242
W 0.000 0.500 0.000
Cl 0.000 0.500 0.500

***

Entry from Alexandria: a relaxed CaTb6Pm8 crystal (PBE-GGA).

The total magnetization comes out at 0.00 μB per formula unit. Its energy is -4.349 eV/atom. Its formation energy is 2.6 eV/f.u.

a b c (Å): 9.7787 9.7787 18.1972
angles (deg): 90.00 90.00 120.00
Space group R-3 (No. 148, hexagonal axes)
One atom of each set of equivalent atoms:
Ca 0.0000 0.0000 0.0000
Tb 0.0253 0.2345 0.4092
Pm 0.0000 0.0000 0.2377
Pm 0.0464 0.2824 0.9020

***

Entry from Alexandria: a relaxed Pa4Te3O2 crystal (PBE-GGA).

The total magnetization comes out at 4.31 μB per formula unit. As for the formation energy (no corrections): -1498 meV/atom. Its energy is -7.867 eV/atom.

a b c (Å): 13.469 10.159 6.376
angles (deg): 90.00 92.79 90.00
Space group C2/c (No. 15)
One atom of each set of equivalent atoms:
Pa 0.129 0.179 0.472
Pa 0.173 0.428 0.942
Te 0.000 0.402 0.250
Te 0.104 0.130 0.968
O 0.206 0.364 0.607

***

Entry from Alexandria: a relaxed PmNdHo crystal (PBE-GGA).

The total magnetization comes out at 0.00 μB per formula unit. The calculation puts the energy above the most stable polymorph in this dataset at 7 meV/atom. Its energy is -4.676 eV/atom. Its formation energy is 0.1 eV/f.u.

a b c (Å): 6.292 3.636 9.067
angles (deg): 90.00 103.59 90.00
Space group Cm (No. 8)
One atom of each set of equivalent atoms:
Pm 0.000 0.000 0.000
Nd 0.057 0.500 0.657
Ho 0.278 0.500 0.327

***

Entry from Alexandria: a relaxed RbLiAs crystal (PBE-GGA).

The total magnetization comes out at 0.00 μB per formula unit. The calculation puts the energy above the most stable polymorph in this dataset at 11 meV/atom. Its energy is -2.956 eV/atom. Its formation energy is -1.3 eV/f.u.

a b c (Å): 4.780 4.780 15.128
angles (deg): 90.00 90.00 90.00
Space group I4/mmm (No. 139)
One atom of each set of equivalent atoms:
Rb 0.000 0.000 0.178
Li 0.000 0.500 0.000
As 0.000 0.000 0.413

***

Entry from Alexandria: a relaxed NaLi4Ag3 crystal (PBE-GGA).

The total magnetization comes out at 0.00 μB per formula unit. Its energy is -2.328 eV/atom. Its formation energy is -1.1 eV/f.u.

a b c (Å): 9.257 6.610 4.627
angles (deg): 90.00 90.00 90.00
Space group Pmma (No. 51)
One atom of each set of equivalent atoms:
Na 0.000 0.000 0.000
Li 0.000 0.273 0.500
Li 0.250 0.273 0.001
Ag 0.000 0.500 0.000
Ag 0.250 0.000 0.501
Ag 0.250 0.500 0.502

***

Entry from Alexandria: a relaxed Fe2SbOs crystal (PBE-GGA).

The total magnetization comes out at 4.17 μB per formula unit. As for the formation energy (no corrections): 415 meV/atom. Its energy is -7.654 eV/atom.

a b c (Å): 3.080 3.080 6.114
angles (deg): 90.00 90.00 90.00
Space group P4/mmm (No. 123)
One atom of each set of equivalent atoms:
Fe 0.000 0.000 0.233
Sb 0.500 0.500 0.500
Os 0.500 0.500 0.000

***

Entry from Alexandria: a relaxed KAcZnBi crystal (PBE-GGA).

The total magnetization comes out at 0.00 μB per formula unit. Its energy is -2.868 eV/atom. Its formation energy is -1.1 eV/f.u.

a b c (Å): 8.176 8.176 8.176
angles (deg): 90.00 90.00 90.00
Space group F-43m (No. 216)
One atom of each set of equivalent atoms:
K 0.000 0.000 0.000
Ac 0.000 0.000 0.500
Zn 0.250 0.250 0.250
Bi 0.250 0.250 0.750

***

Entry from Alexandria: a relaxed Ho2HPb crystal (PBE-GGA).

The total magnetization comes out at 0.00 μB per formula unit. The calculation puts the energy above the most stable polymorph in this dataset at 132 meV/atom. Its energy is -4.463 eV/atom.

a b c (Å): 8.511 6.380 6.764
angles (deg): 90.00 99.80 90.00
Space group P2_1/c (No. 14)
One atom of each set of equivalent atoms:
Ho 0.066 0.158 0.318
Ho 0.295 0.652 0.521
H 0.068 0.665 0.929
Pb 0.384 0.153 0.645

***

Entry from Alexandria: a relaxed Zr4AlHg crystal (PBE-GGA).

The total magnetization comes out at 0.00 μB per formula unit. The calculation puts the energy above the most stable polymorph in this dataset at 257 meV/atom. Its energy is -5.866 eV/atom. Its formation energy is 3.0 eV/f.u.

a b c (Å): 10.323 10.359 2.926
angles (deg): 90.00 90.00 90.00
Space group Cmmm (No. 65)
One atom of each set of equivalent atoms:
Zr 0.000 0.245 0.000
Zr 0.225 0.500 0.500
Al 0.000 0.500 0.000
Hg 0.000 0.000 0.500

***

Entry from Alexandria: a relaxed NiSe2Br crystal (PBE-GGA).

The total magnetization comes out at 0.00 μB per formula unit. As for the formation energy (no corrections): -143 meV/atom. The calculation puts the energy above the most stable polymorph in this dataset at 95 meV/atom. Its energy is -3.749 eV/atom.

a b c (Å): 7.525 8.487 5.933
angles (deg): 90.00 90.00 90.00
Space group Pna2_1 (No. 33)
One atom of each set of equivalent atoms:
Ni 0.040 0.166 0.000
Se 0.147 0.003 0.699
Se 0.197 0.725 0.716
Br 0.058 0.358 0.717